12
Lattice="-1.0212 -0.0624 4.1563 4.7005 -2.5120 0.4311 3.9941 5.5311 0.5254" Properties=species:S:1:pos:R:3 comment="GGA+U Pm2ReNiO8, relaxed" sg=P-1 vol_a3_per_cell=154 m_tot_mub_per_atom=0.08 dft_energy_ev_per_cell=-89.3 pbc="T T T"
Ni 1.9971 2.7655 0.2627
Pm 5.0631 2.7491 1.9493
Pm 2.6102 0.2076 3.1634
O 6.5643 3.4004 3.6693
O 0.4044 1.1550 3.4870
O 3.0901 1.6838 1.2461
O 3.9943 -1.0261 1.2813
O 7.2690 1.8017 1.6258
O 1.1091 -0.4436 1.4434
O 3.6790 3.9829 3.8314
O 4.5833 1.2729 3.8667
Re 0.0000 0.0000 0.0000